Entry 1:
Computed, not measured: a relaxed structure of B7C5 at the PBE-GGA level of DFT.

Cell: 2.7055 6.5886 4.5228 Å, 90.00 90.00 90.00°
Sites, in units of the cell vectors:
B: 0.0000 0.0000 0.0000
B: 0.0000 0.1542 0.3171
B: 0.0000 0.8458 0.3171
B: 0.5000 0.0000 0.7331
B: 0.5000 0.2872 0.8251
B: 0.5000 0.5000 0.4000
B: 0.5000 0.7128 0.8251
C: 0.0000 0.3115 0.0086
C: 0.0000 0.5000 0.2132
C: 0.0000 0.6885 0.0086
C: 0.5000 0.2003 0.4976
C: 0.5000 0.7997 0.4976

DOS(E_F) (states/eV/cell): 0.80
Total magnetization (μB per cell): 0.00
Distance to the lowest polymorph of the same formula (eV/atom): 0.191
Space group: Pmm2
Formation energy from the elements (eV per atom): 0.36

=====

Entry 2:
Computed, not measured: a relaxed structure of B7C5 at the PBE-GGA level of DFT.

Cell: 4.6092 4.6092 4.4255 Å, 98.31 98.31 118.13°
Sites, in units of the cell vectors:
B: 0.0000 0.0000 0.0000
B: 0.0713 0.3099 0.7866
B: 0.1614 0.8034 0.3920
B: 0.3099 0.0713 0.7866
B: 0.3852 0.7375 0.9299
B: 0.7375 0.3852 0.9299
B: 0.8034 0.1614 0.3920
C: 0.1815 0.1815 0.4109
C: 0.4728 0.7975 0.3073
C: 0.5339 0.5339 0.4382
C: 0.6658 0.6658 0.7972
C: 0.7975 0.4728 0.3073

DOS(E_F) (states/eV/cell): 1.87
Total magnetization (μB per cell): 0.00
Distance to the lowest polymorph of the same formula (eV/atom): 0.303
Space group: Cm
Formation energy from the elements (eV per atom): 0.47

=====

Entry 3:
Computed, not measured: a relaxed structure of BC at the PBE-GGA level of DFT.

Cell: 4.6691 4.6691 6.0836 Å, 129.57 129.57 47.31°
Sites, in units of the cell vectors:
B: 0.0000 0.0000 0.0000
B: 0.0995 0.6098 0.0459
B: 0.3902 0.9005 0.9541
B: 0.4274 0.2942 0.5455
B: 0.7058 0.5726 0.4545
C: 0.2200 0.1579 0.7770
C: 0.5594 0.0324 0.7040
C: 0.7903 0.2097 0.5000
C: 0.8421 0.7800 0.2230
C: 0.9676 0.4406 0.2960

DOS(E_F) (states/eV/cell): 2.50
Total magnetization (μB per cell): 0.00
Distance to the lowest polymorph of the same formula (eV/atom): 0.267
Space group: C2
Formation energy from the elements (eV per atom): 0.42

=====

Entry 4:
Computed, not measured: a relaxed structure of BC at the PBE-GGA level of DFT.

Cell: 7.0339 7.0339 4.6319 Å, 106.57 106.57 21.73°
Sites, in units of the cell vectors:
B: 0.0000 0.0000 0.0000
B: 0.1791 0.1791 0.8819
B: 0.2102 0.2102 0.5382
B: 0.3614 0.3614 0.7425
B: 0.5011 0.5011 0.5845
B: 0.5653 0.5653 0.2621
C: 0.0587 0.0587 0.7277
C: 0.3790 0.3790 0.4095
C: 0.6823 0.6823 0.3584
C: 0.7276 0.7276 0.0952
C: 0.8439 0.8439 0.2148
C: 0.8817 0.8817 0.9320

DOS(E_F) (states/eV/cell): 1.78
Total magnetization (μB per cell): 0.00
Distance to the lowest polymorph of the same formula (eV/atom): 0.209
Space group: Cm
Formation energy from the elements (eV per atom): 0.36

=====

Entry 5:
Computed, not measured: a relaxed structure of B7C5 at the PBE-GGA level of DFT.

Cell: 3.9080 4.7170 5.3509 Å, 105.43 93.46 113.71°
Sites, in units of the cell vectors:
B: 0.0000 0.0000 0.0000
B: 0.0019 0.0606 0.6473
B: 0.0236 0.3746 0.1748
B: 0.3239 0.9879 0.8104
B: 0.3948 0.0386 0.2038
B: 0.5991 0.6546 0.4430
B: 0.6940 0.3505 0.8278
C: 0.3768 0.6586 0.6994
C: 0.4046 0.6936 0.1855
C: 0.6160 0.6722 0.9477
C: 0.7402 0.3700 0.3782
C: 0.9757 0.3681 0.6133

DOS(E_F) (states/eV/cell): 2.50
Total magnetization (μB per cell): 0.00
Distance to the lowest polymorph of the same formula (eV/atom): 0.269
Space group: P1
Formation energy from the elements (eV per atom): 0.43

=====

Entry 6:
Computed, not measured: a relaxed structure of B3C at the PBE-GGA level of DFT.

Cell: 4.5193 4.5193 6.9297 Å, 111.46 111.46 44.80°
Sites, in units of the cell vectors:
B: 0.0000 0.0000 0.0000
B: 0.0233 0.6279 0.0429
B: 0.2030 0.7859 0.3003
B: 0.2141 0.7970 0.6997
B: 0.3721 0.9767 0.9571
B: 0.4729 0.2282 0.8805
B: 0.6132 0.0488 0.4894
B: 0.7718 0.5271 0.1195
B: 0.9512 0.3868 0.5106
C: 0.3143 0.3744 0.6636
C: 0.6256 0.6857 0.3364
C: 0.9819 0.0181 0.5000

DOS(E_F) (states/eV/cell): 1.85
Total magnetization (μB per cell): 0.00
Distance to the lowest polymorph of the same formula (eV/atom): 0.107
Space group: C2
Formation energy from the elements (eV per atom): 0.35

=====

Entry 7:
Computed, not measured: a relaxed structure of B3C at the PBE-GGA level of DFT.

Cell: 3.8644 3.8644 4.6348 Å, 110.74 110.74 90.18°
Sites, in units of the cell vectors:
B: 0.1687 0.6847 0.6556
B: 0.3153 0.8313 0.3444
B: 0.3782 0.3782 0.0469
B: 0.6218 0.6218 0.9531
B: 0.6847 0.1687 0.6556
B: 0.8313 0.3153 0.3444
C: 0.0521 0.0521 0.8762
C: 0.9479 0.9479 0.1238

DOS(E_F) (states/eV/cell): 0.80
Total magnetization (μB per cell): 0.00
Distance to the lowest polymorph of the same formula (eV/atom): 0.329
Space group: C2/m
Formation energy from the elements (eV per atom): 0.57

=====

Entry 8:
Computed, not measured: a relaxed structure of BC at the PBE-GGA level of DFT.

Cell: 4.3789 4.3789 2.7578 Å, 90.00 90.00 90.00°
Sites, in units of the cell vectors:
B: 0.2376 0.2376 0.0000
B: 0.2624 0.7376 0.5000
B: 0.7376 0.2624 0.5000
B: 0.7624 0.7624 0.0000
C: 0.1332 0.8668 0.0000
C: 0.3668 0.3668 0.5000
C: 0.6332 0.6332 0.5000
C: 0.8668 0.1332 0.0000

DOS(E_F) (states/eV/cell): 0.26
Total magnetization (μB per cell): 0.00
Distance to the lowest polymorph of the same formula (eV/atom): 0.049
Space group: P4_2/mnm
Formation energy from the elements (eV per atom): 0.20

=====

Entry 9:
Computed, not measured: a relaxed structure of BC at the PBE-GGA level of DFT.

Cell: 3.6898 3.9387 5.9476 Å, 70.90 87.54 89.73°
Sites, in units of the cell vectors:
B: 0.0000 0.0000 0.0000
B: 0.0021 0.7757 0.7051
B: 0.2801 0.5547 0.5161
B: 0.3254 0.2459 0.2106
B: 0.5723 0.6252 0.9989
B: 0.7782 0.3854 0.8290
C: 0.0212 0.3968 0.3513
C: 0.2961 0.9164 0.8340
C: 0.5417 0.8969 0.3590
C: 0.5442 0.2074 0.6817
C: 0.7720 0.0811 0.5048
C: 0.7840 0.7212 0.2106

DOS(E_F) (states/eV/cell): 2.58
Total magnetization (μB per cell): 0.00
Distance to the lowest polymorph of the same formula (eV/atom): 0.238
Space group: P1
Formation energy from the elements (eV per atom): 0.39

=====

Entry 10:
Computed, not measured: a relaxed structure of BC at the PBE-GGA level of DFT.

Cell: 4.7294 4.7294 5.1987 Å, 108.06 108.06 49.53°
Sites, in units of the cell vectors:
B: 0.0000 0.0000 0.0000
B: 0.2667 0.6723 0.7304
B: 0.3277 0.7333 0.2696
B: 0.3794 0.2110 0.1444
B: 0.7890 0.6206 0.8556
B: 0.9994 0.0006 0.5000
C: 0.3888 0.2641 0.6579
C: 0.5970 0.0680 0.9083
C: 0.6168 0.0323 0.4211
C: 0.7359 0.6112 0.3421
C: 0.9320 0.4030 0.0917
C: 0.9677 0.3832 0.5789

DOS(E_F) (states/eV/cell): 1.04
Total magnetization (μB per cell): 0.00
Distance to the lowest polymorph of the same formula (eV/atom): 0.254
Space group: C2
Formation energy from the elements (eV per atom): 0.40

=====

Entry 11:
Computed, not measured: a relaxed structure of B3C at the PBE-GGA level of DFT.

Cell: 5.8715 5.8715 5.0139 Å, 94.19 94.19 27.66°
Sites, in units of the cell vectors:
B: 0.0000 0.0000 0.0000
B: 0.3129 0.3129 0.6543
B: 0.3304 0.3304 0.1693
B: 0.4999 0.4999 0.2096
B: 0.6080 0.6080 0.9743
B: 0.6693 0.6693 0.3828
B: 0.7501 0.7501 0.1176
B: 0.8485 0.8485 0.8962
B: 0.9448 0.9448 0.6294
C: 0.0912 0.0912 0.7742
C: 0.1724 0.1724 0.5491
C: 0.4203 0.4203 0.4551

DOS(E_F) (states/eV/cell): 1.82
Total magnetization (μB per cell): 0.00
Distance to the lowest polymorph of the same formula (eV/atom): 0.132
Space group: Cm
Formation energy from the elements (eV per atom): 0.37

=====

Entry 12:
Computed, not measured: a relaxed structure of B7C5 at the PBE-GGA level of DFT.

Cell: 4.6937 4.6937 7.8028 Å, 111.93 111.93 33.01°
Sites, in units of the cell vectors:
B: 0.0000 0.0000 0.0000
B: 0.0029 0.0029 0.4662
B: 0.3303 0.3303 0.1698
B: 0.4817 0.4817 0.8190
B: 0.6139 0.6139 0.2554
B: 0.8033 0.8033 0.9805
B: 0.8489 0.8489 0.5664
C: 0.1531 0.1531 0.6802
C: 0.1542 0.1542 0.1783
C: 0.3144 0.3144 0.6372
C: 0.4873 0.4873 0.3536
C: 0.6539 0.6539 0.7943

DOS(E_F) (states/eV/cell): 1.09
Total magnetization (μB per cell): 0.00
Distance to the lowest polymorph of the same formula (eV/atom): 0.245
Space group: Cm
Formation energy from the elements (eV per atom): 0.41

=====

Entry 13:
Computed, not measured: a relaxed structure of B7C5 at the PBE-GGA level of DFT.

Cell: 8.5799 8.5799 4.7881 Å, 102.53 102.53 17.82°
Sites, in units of the cell vectors:
B: 0.0000 0.0000 0.0000
B: 0.1518 0.1518 0.7455
B: 0.2643 0.2643 0.1195
B: 0.5018 0.5018 0.5005
B: 0.6025 0.6025 0.9036
B: 0.6487 0.6487 0.3150
B: 0.7593 0.7593 0.3325
C: 0.0131 0.0131 0.3409
C: 0.1091 0.1091 0.3979
C: 0.2532 0.2532 0.7950
C: 0.5069 0.5069 0.8378
C: 0.7611 0.7611 0.6456

DOS(E_F) (states/eV/cell): 2.54
Total magnetization (μB per cell): 0.00
Distance to the lowest polymorph of the same formula (eV/atom): 0.216
Space group: Cm
Formation energy from the elements (eV per atom): 0.38

=====

Entry 14:
Computed, not measured: a relaxed structure of BC at the PBE-GGA level of DFT.

Cell: 6.3042 6.3042 4.8192 Å, 98.49 98.49 24.56°
Sites, in units of the cell vectors:
B: 0.0000 0.0000 0.0000
B: 0.1777 0.1777 0.7827
B: 0.2211 0.2211 0.4024
B: 0.5047 0.5047 0.4948
B: 0.8452 0.8452 0.8339
B: 0.8586 0.8586 0.1876
C: 0.0445 0.0445 0.6792
C: 0.3250 0.3250 0.6525
C: 0.3657 0.3657 0.3689
C: 0.5498 0.5498 0.1846
C: 0.6719 0.6719 0.2373
C: 0.7191 0.7191 0.9615

DOS(E_F) (states/eV/cell): 2.72
Total magnetization (μB per cell): 0.00
Distance to the lowest polymorph of the same formula (eV/atom): 0.208
Space group: Cm
Formation energy from the elements (eV per atom): 0.36

=====

Entry 15:
Computed, not measured: a relaxed structure of B7C5 at the PBE-GGA level of DFT.

Cell: 6.6754 6.6754 4.8862 Å, 102.93 102.93 23.39°
Sites, in units of the cell vectors:
B: 0.0000 0.0000 0.0000
B: 0.0106 0.0106 0.6277
B: 0.3328 0.3328 0.5816
B: 0.4833 0.4833 0.3762
B: 0.6327 0.6327 0.9141
B: 0.6598 0.6598 0.3794
B: 0.8599 0.8599 0.1009
C: 0.1492 0.1492 0.7813
C: 0.2026 0.2026 0.5276
C: 0.3568 0.3568 0.2548
C: 0.5551 0.5551 0.1342
C: 0.8937 0.8937 0.7623

DOS(E_F) (states/eV/cell): 0.85
Total magnetization (μB per cell): 0.00
Distance to the lowest polymorph of the same formula (eV/atom): 0.171
Space group: Cm
Formation energy from the elements (eV per atom): 0.34

=====

Entry 16:
Computed, not measured: a relaxed structure of BC at the PBE-GGA level of DFT.

Cell: 4.6047 4.6047 7.6494 Å, 111.26 111.26 33.68°
Sites, in units of the cell vectors:
B: 0.0000 0.0000 0.0000
B: 0.0649 0.0649 0.5803
B: 0.2459 0.2459 0.3139
B: 0.5292 0.5292 0.4072
B: 0.7085 0.7085 0.8835
B: 0.8614 0.8614 0.5894
C: 0.2203 0.2203 0.7577
C: 0.3683 0.3683 0.2045
C: 0.3825 0.3825 0.7275
C: 0.5351 0.5351 0.9151
C: 0.7075 0.7075 0.3922
C: 0.8734 0.8734 0.1021

DOS(E_F) (states/eV/cell): 2.74
Total magnetization (μB per cell): 0.00
Distance to the lowest polymorph of the same formula (eV/atom): 0.215
Space group: Cm
Formation energy from the elements (eV per atom): 0.37

=====

Entry 17:
Computed, not measured: a relaxed structure of BC at the PBE-GGA level of DFT.

Cell: 3.5017 4.3158 5.6535 Å, 68.48 84.17 89.34°
Sites, in units of the cell vectors:
B: 0.1296 0.3224 0.1200
B: 0.1415 0.0627 0.7379
B: 0.3573 0.7842 0.6006
B: 0.6427 0.2158 0.3994
B: 0.8585 0.9373 0.2621
B: 0.8704 0.6776 0.8800
C: 0.1277 0.6483 0.4193
C: 0.3705 0.5410 0.2308
C: 0.3739 0.1530 0.9342
C: 0.6261 0.8470 0.0658
C: 0.6295 0.4590 0.7692
C: 0.8723 0.3517 0.5807

DOS(E_F) (states/eV/cell): 1.04
Total magnetization (μB per cell): 0.00
Distance to the lowest polymorph of the same formula (eV/atom): 0.231
Space group: P-1
Formation energy from the elements (eV per atom): 0.38

=====

Entry 18:
Computed, not measured: a relaxed structure of B7C5 at the PBE-GGA level of DFT.

Cell: 6.9812 6.9812 4.9862 Å, 105.53 105.53 20.91°
Sites, in units of the cell vectors:
B: 0.0000 0.0000 0.0000
B: 0.2073 0.2073 0.5867
B: 0.3735 0.3735 0.4487
B: 0.5261 0.5261 0.2534
B: 0.6732 0.6732 0.3169
B: 0.8052 0.8052 0.2030
B: 0.8347 0.8347 0.8781
C: 0.0326 0.0326 0.7190
C: 0.1515 0.1515 0.8344
C: 0.3307 0.3307 0.7152
C: 0.4977 0.4977 0.5391
C: 0.6877 0.6877 0.0067

DOS(E_F) (states/eV/cell): 1.39
Total magnetization (μB per cell): 0.00
Distance to the lowest polymorph of the same formula (eV/atom): 0.265
Space group: Cm
Formation energy from the elements (eV per atom): 0.43

=====

Entry 19:
Computed, not measured: a relaxed structure of BC at the PBE-GGA level of DFT.

Cell: 2.5596 2.5596 14.1777 Å, 90.00 90.00 120.00°
Sites, in units of the cell vectors:
B: 0.0000 0.0000 0.0000
B: 0.0000 0.0000 0.1183
B: 0.0000 0.0000 0.5991
B: 0.3333 0.6667 0.1925
B: 0.6667 0.3333 0.8022
B: 0.6667 0.3333 0.9218
C: 0.0000 0.0000 0.4855
C: 0.3333 0.6667 0.3042
C: 0.3333 0.6667 0.6496
C: 0.3333 0.6667 0.7486
C: 0.6667 0.3333 0.3398
C: 0.6667 0.3333 0.4505

DOS(E_F) (states/eV/cell): 3.06
Total magnetization (μB per cell): 0.00
Distance to the lowest polymorph of the same formula (eV/atom): 0.285
Space group: P3m1
Formation energy from the elements (eV per atom): 0.44

=====

Entry 20:
Computed, not measured: a relaxed structure of BC at the PBE-GGA level of DFT.

Cell: 3.4720 4.4686 5.5167 Å, 96.96 91.13 112.17°
Sites, in units of the cell vectors:
B: 0.0000 0.0000 0.0000
B: 0.0018 0.9206 0.5003
B: 0.3386 0.6936 0.7005
B: 0.5259 0.5735 0.4196
B: 0.6806 0.3554 0.8412
B: 0.9533 0.3408 0.5626
C: 0.2588 0.9526 0.2573
C: 0.2613 0.0393 0.7579
C: 0.3147 0.6350 0.1571
C: 0.5882 0.6791 0.9462
C: 0.6527 0.2581 0.3132
C: 0.9233 0.3340 0.1022

DOS(E_F) (states/eV/cell): 1.67
Total magnetization (μB per cell): 0.00
Distance to the lowest polymorph of the same formula (eV/atom): 0.235
Space group: P1
Formation energy from the elements (eV per atom): 0.39